No. 1
An optimized crystal structure of Tb4Cd3Cu. Source: Alexandria, functional PBE.

## Properties
The calculation puts the formation energy at -2.30 eV per formula unit. The density of states at the Fermi level is 0.89 states/eV per atom. The total moment is 0.26 μB/cell.

a = 3.637 Å, b = 3.637 Å, c = 15.238 Å
α = 90.00°, β = 90.00°, γ = 90.00°
Space group P4/mmm (No. 123)
Symmetry-distinct sites (fractional):
Tb: 0.000 0.000 0.109 [2 per cell]
Tb: 0.000 0.000 0.370 [2 per cell]
Cd: 0.500 0.500 0.242 [2 per cell]
Cd: 0.500 0.500 0.500 [1 per cell]
Cu: 0.500 0.500 0.000 [1 per cell]


No. 2
An optimized crystal structure of CoBr. Source: Alexandria, functional PBE.

## Properties
The calculation puts the formation energy without anion corrections at 0.48 eV per atom. The polymorph energy (0 for the lowest one) is 597 meV per atom. The density of states at the Fermi level is 1.29 states/eV per atom. The total moment is 6.02 μB/cell.

a = 3.6226 Å, b = 3.6226 Å, c = 9.8288 Å
α = 90.00°, β = 90.00°, γ = 120.00°
Space group R-3m (No. 166, hexagonal axes)
Symmetry-distinct sites (fractional):
Co: 0.0000 0.0000 0.0000 [3 per cell]
Br: 0.0000 0.0000 0.5000 [3 per cell]


No. 3
An optimized crystal structure of DyErH4. Source: Alexandria, functional PBE.

## Properties
For the energy, the calculation gives -107.309 eV per cell. The density of states at the Fermi level is 0.28 states/eV per atom. The total moment is 0.00 μB/cell.

a = 5.129 Å, b = 5.129 Å, c = 10.351 Å
α = 90.00°, β = 90.00°, γ = 90.00°
Space group I4_1/amd (No. 141, origin choice 2)
Symmetry-distinct sites (fractional):
Dy: 0.000 0.250 0.375 [4 per cell]
Er: 0.000 0.250 0.875 [4 per cell]
H: 0.247 0.000 0.000 [16 per cell]


No. 4
An optimized crystal structure of LaScAl. Source: Alexandria, functional PBE.

## Properties
The polymorph energy (0 for the lowest one) is 54 meV per atom. The calculation puts the formation energy at -0.54 eV per formula unit. The density of states at the Fermi level is 1.10 states/eV per atom. The total moment is 0.01 μB/cell.

a = 3.364 Å, b = 4.293 Å, c = 10.679 Å
α = 90.00°, β = 90.00°, γ = 90.00°
Space group Imm2 (No. 44)
Symmetry-distinct sites (fractional):
La: 0.000 0.000 0.000 [2 per cell]
Sc: 0.000 0.000 0.713 [2 per cell]
Al: 0.000 0.000 0.322 [2 per cell]